[1]
Computed, not measured: K3Li after structural relaxation at the GGA-PBE level of DFT.

a b c (Å): 9.8089 9.8089 4.8946
angles (deg): 90.00 90.00 91.71
Fractional positions:
K (0.1462, 0.8538, 0.7500)
K (0.1642, 0.4112, 0.7500)
K (0.4112, 0.1642, 0.2500)
K (0.5888, 0.8358, 0.7500)
K (0.8358, 0.5888, 0.2500)
K (0.8538, 0.1462, 0.2500)
Li (0.4268, 0.5732, 0.2500)
Li (0.5732, 0.4268, 0.7500)

The total energy is -1.212 eV/atom. The value obtained for the size of the total moment is 0.00 μB per formula unit.

[2]
Computed, not measured: K2Te5Au4 after structural relaxation at the GGA-PBE level of DFT.

a b c (Å): 7.4414 7.4414 8.0086
angles (deg): 118.07 118.07 66.37
Fractional positions:
K (0.0455, 0.0455, 0.3004)
K (0.9545, 0.9545, 0.6996)
Te (0.0360, 0.4855, 0.7736)
Te (0.4855, 0.0360, 0.7736)
Te (0.5000, 0.5000, 0.5000)
Te (0.5145, 0.9640, 0.2264)
Te (0.9640, 0.5145, 0.2264)
Au (0.2760, 0.2760, 0.0465)
Au (0.4432, 0.4432, 0.7904)
Au (0.5568, 0.5568, 0.2096)
Au (0.7240, 0.7240, 0.9535)

The total energy is -3.075 eV/atom. The formation energy without anion corrections is -0.2553 eV per atom. The value obtained for the size of the total moment is 0.00 μB per formula unit.

[3]
Computed, not measured: PmHoPu2Bi4 after structural relaxation at the GGA-PBE level of DFT.

a b c (Å): 7.8471 4.5280 7.8511
angles (deg): 90.00 109.45 90.00
Fractional positions:
Pm (0.0000, 0.0000, 0.0000)
Ho (0.5000, 0.5000, 0.0000)
Pu (0.0000, 0.5000, 0.5000)
Pu (0.5000, 0.0000, 0.5000)
Bi (0.2542, 0.0000, 0.7509)
Bi (0.2545, 0.5000, 0.2519)
Bi (0.7458, 0.0000, 0.2491)
Bi (0.7455, 0.5000, 0.7481)

The total energy is -7.292 eV/atom. The value obtained for the size of the total moment is 10.25 μB per formula unit.